Below is Mg2CuSe2 after structural relaxation, with properties calculated at the PBE-GGA level.

Formation energy without anion corrections in eV/atom: -0.428
Volume in Å³ per atom: 21.444
Total energy in eV per atom: -3.2790
Energy above the lowest structure with this stoichiometry in kcal/mol of atoms: 6.18

The structure in POSCAR format:
```
Mg2CuSe2
1.0
5.2344 0.0000 0.0000
0.0000 5.2344 0.0000
0.0000 0.0000 7.8264
Mg Cu Se
4 2 4
Cartesian
1.3086 1.3086 0.4417 Mg
1.3086 3.9258 3.9132 Mg
3.9258 1.3086 3.9132 Mg
3.9258 3.9258 7.3847 Mg
1.3086 1.3086 5.5990 Cu
3.9258 3.9258 2.2274 Cu
1.3086 1.3086 3.1242 Se
1.3086 3.9258 0.0000 Se
3.9258 1.3086 0.0000 Se
3.9258 3.9258 4.7022 Se
```